Sc2Al3Cr | Alexandria | PBE | relaxed; total magnetic moment = 2.29 μB/cell; VASP energy = -0.2184 hartree per atom; DOS at the Fermi energy = 4.07 states/eV/f.u.; formation energy = -0.358 eV per atom
1.0
4.735 -0.145 -2.498
-3.009 4.425 -0.220
-0.245 0.096 5.273
Sc Cr Al
2 1 3
Cartesian
2.377 1.550 -1.326
-0.896 2.826 3.881
0.000 0.000 0.000
0.740 2.188 1.278
2.245 -0.024 1.388
-0.123 0.048 2.636